# 1
Compound: Ti2CrIrC
Source: Alexandria
Functional: PBE
Structure: relaxed

```
Ti2CrIrC
1.0
4.193 0.000 0.000
0.000 4.193 0.000
0.000 0.000 3.755
Ti Cr Ir C
2 1 1 1
direct
0.000 0.500 0.000
0.500 0.000 0.000
0.000 0.000 0.500
0.500 0.500 0.500
0.000 0.000 0.000
```

Values from the calculation:
Energy relative to the elements = -0.4707 eV per atom
Space-group type = P4/mmm (123)

# 2
Compound: V2CrIrC
Source: Alexandria
Functional: PBE
Structure: relaxed

```
V2CrIrC
1.0
3.953 0.000 0.000
0.000 3.953 0.000
0.000 0.000 3.831
V Cr Ir C
2 1 1 1
direct
0.000 0.500 0.000
0.500 0.000 0.000
0.000 0.000 0.500
0.500 0.500 0.500
0.000 0.000 0.000
```

Values from the calculation:
Energy relative to the elements = -0.2693 eV per atom
Space-group type = P4/mmm (123)

# 3
Compound: VCr2IrC
Source: Alexandria
Functional: PBE
Structure: relaxed

```
VCr2IrC
1.0
3.839 0.000 0.000
0.000 3.839 0.000
0.000 0.000 3.940
V Cr Ir C
1 2 1 1
direct
0.000 0.000 0.000
0.000 0.500 0.500
0.500 0.000 0.500
0.500 0.500 0.000
0.000 0.000 0.500
```

Values from the calculation:
Energy relative to the elements = -0.1697 eV per atom
Space-group type = P4/mmm (123)

# 4
Compound: Y2CrIrC
Source: Alexandria
Functional: PBE
Structure: relaxed

```
Y2CrIrC
1.0
4.893 0.000 0.000
0.000 4.893 0.000
0.000 0.000 3.796
Y Cr Ir C
2 1 1 1
direct
0.000 0.500 0.000
0.500 0.000 0.000
0.000 0.000 0.500
0.500 0.500 0.500
0.000 0.000 0.000
```

Values from the calculation:
Energy relative to the elements = -0.2883 eV per atom
Space-group type = P4/mmm (123)

# 5
Compound: ZrCrIr2C
Source: Alexandria
Functional: PBE
Structure: relaxed

```
ZrCrIr2C
1.0
4.129 0.000 0.000
0.000 4.129 0.000
0.000 0.000 4.050
Zr Cr Ir C
1 1 2 1
direct
0.000 0.000 0.000
0.500 0.500 0.000
0.000 0.500 0.500
0.500 0.000 0.500
0.500 0.500 0.500
```

Values from the calculation:
Energy relative to the elements = -0.1787 eV per atom
Space-group type = P4/mmm (123)

# 6
Compound: K3CrC
Source: Alexandria
Functional: PBE
Structure: relaxed

```
K3CrC
1.0
6.622 0.000 0.000
0.000 6.622 0.000
0.000 0.000 6.622
K Cr C
3 1 1
direct
0.000 0.000 0.500
0.000 0.500 0.000
0.500 0.000 0.000
0.000 0.000 0.000
0.500 0.500 0.500
```

Values from the calculation:
Energy relative to the elements = 1.7959 eV per atom
E above lowest polymorph = 0.0 meV/atom
Space-group type = Pm-3m (221)

# 7
Compound: K2CrC
Source: Alexandria
Functional: PBE
Structure: relaxed

```
K2CrC
1.0
-5.984 5.984 1.933
5.984 -5.984 1.933
5.984 5.984 -1.933
K Cr C
4 2 2
direct
0.375 0.174 0.299
0.826 0.125 0.201
0.875 0.076 0.701
0.924 0.625 0.799
0.250 0.750 0.500
0.500 0.500 0.000
0.000 0.000 0.000
0.750 0.250 0.500
```

Values from the calculation:
Energy relative to the elements = 0.7669 eV per atom
Space-group type = I-42d (122)

# 8
Compound: KCr2C
Source: Alexandria
Functional: PBE
Structure: relaxed

```
KCr2C
1.0
0.000 4.501 4.501
4.501 0.000 4.501
4.501 4.501 0.000
K Cr C
2 4 2
direct
0.125 0.125 0.125
0.875 0.875 0.875
0.000 0.500 0.500
0.500 0.000 0.500
0.500 0.500 0.000
0.500 0.500 0.500
0.375 0.375 0.375
0.625 0.625 0.625
```

Values from the calculation:
Energy relative to the elements = 0.8139 eV per atom
Space-group type = Fd-3m (227)